Record 1
# TaCoMo2 PBE-GGA relaxed
# - Calculated density: 11.9 g/cm3
# - Formation energy from the elements: 0.042 eV/atom
# - Uncorrected energy: -10.113 eV/atom
# - Crystal system: orthorhombic
# - Energy relative to the lowest polymorph listed for this composition: 60 meV/atom
# - DOS at the Fermi energy: 3.7 states/eV/f.u.
data_TaCoMo2
_cell_length_a 3.389
_cell_length_b 4.243
_cell_length_c 8.390
_cell_angle_alpha 90.00
_cell_angle_beta 90.00
_cell_angle_gamma 90.00
_space_group_name_H-M_alt 'C m m m'
_space_group_IT_number 65
_space_group_name_Hall '-C 2 2'
loop_
_atom_site_label
_atom_site_fract_x
_atom_site_fract_y
_atom_site_fract_z
Ta1 0.000 0.000 0.000
Co1 0.000 0.000 0.500
Mo1 0.000 0.500 0.278

---

Record 2
# TaCo2Mo PBE-GGA relaxed
# - Calculated density: 12.1 g/cm3
# - Formation energy from the elements: -0.015 eV/atom
# - Uncorrected energy: -9.239 eV/atom
# - Crystal system: tetragonal
# - Energy relative to the lowest polymorph listed for this composition: 38 meV/atom
# - DOS at the Fermi energy: 4.8 states/eV/f.u.
data_TaCo2Mo
_cell_length_a 2.721
_cell_length_b 2.721
_cell_length_c 7.339
_cell_angle_alpha 90.00
_cell_angle_beta 90.00
_cell_angle_gamma 90.00
_space_group_name_H-M_alt 'P 4/m m m'
_space_group_IT_number 123
_space_group_name_Hall '-P 4 2'
loop_
_atom_site_label
_atom_site_fract_x
_atom_site_fract_y
_atom_site_fract_z
Ta1 0.000 0.000 0.000
Co1 0.500 0.500 0.258
Mo1 0.000 0.000 0.500

---

Record 3
# TaCoMo2 PBE-GGA relaxed
# - Calculated density: 11.7 g/cm3
# - Formation energy from the elements: 0.190 eV/atom
# - Uncorrected energy: -9.965 eV/atom
# - Crystal system: monoclinic
# - Energy relative to the lowest polymorph listed for this composition: 208 meV/atom
# - DOS at the Fermi energy: 4.0 states/eV/f.u.
data_TaCoMo2
_cell_length_a 9.327
_cell_length_b 2.728
_cell_length_c 4.909
_cell_angle_alpha 90.00
_cell_angle_beta 101.59
_cell_angle_gamma 90.00
_space_group_name_H-M_alt 'C 1 m 1'
_space_group_IT_number 8
_space_group_name_Hall 'C -2y'
loop_
_atom_site_label
_atom_site_fract_x
_atom_site_fract_y
_atom_site_fract_z
Ta1 0.000 0.000 0.000
Co1 0.235 0.500 0.199
Mo1 0.223 0.000 0.705
Mo2 0.453 0.000 0.467

---

Record 4
# TaCoMo2 PBE-GGA relaxed
# - Calculated density: 11.7 g/cm3
# - Formation energy from the elements: 0.167 eV/atom
# - Uncorrected energy: -9.989 eV/atom
# - Crystal system: tetragonal
# - Energy relative to the lowest polymorph listed for this composition: 184 meV/atom
# - DOS at the Fermi energy: 6.2 states/eV/f.u.
data_TaCoMo2
_cell_length_a 3.783
_cell_length_b 3.783
_cell_length_c 8.540
_cell_angle_alpha 90.00
_cell_angle_beta 90.00
_cell_angle_gamma 90.00
_space_group_name_H-M_alt 'I 4/m m m'
_space_group_IT_number 139
_space_group_name_Hall '-I 4 2'
loop_
_atom_site_label
_atom_site_fract_x
_atom_site_fract_y
_atom_site_fract_z
Ta1 0.000 0.000 0.000
Co1 0.000 0.000 0.500
Mo1 0.000 0.500 0.250

---

Question: Which value of uncorrected energy does entry 2 give?
Answer: -9.239 eV/atom

---

Question: energy relative to the lowest polymorph listed for this composition of number 2 (TaCo2Mo)?
Answer: 38 meV/atom

---

Question: The highest DOS at the Fermi energy belongs to which entry?
Answer: number 4